Model a:
The following is a DFT calculation (GGA-PBE) of a geometry-optimized CsKGa2Pt structure.

Values from the calculation:
DOS(E_F) (states/eV per cell): 3.3

Unit cell a=6.1571 b=6.1571 c=5.6283 alpha=90.00 beta=90.00 gamma=90.00
Fractional positions:
Cs 0.0000 0.0000 0.0000
K 0.5000 0.5000 0.5000
Ga 0.0000 0.5000 0.0000
Ga 0.5000 0.0000 0.0000
Pt 0.0000 0.0000 0.5000


Model b:
The following is a DFT calculation (GGA-PBE) of a geometry-optimized CsKGa2Pt structure.

Values from the calculation:
DOS(E_F) (states/eV per cell): 2.0

Unit cell a=4.9600 b=4.9600 c=6.1966 alpha=90.00 beta=90.00 gamma=90.00
Fractional positions:
Cs 0.0000 0.0000 0.0000
K 0.5000 0.5000 0.0000
Ga 0.0000 0.5000 0.5000
Ga 0.5000 0.0000 0.5000
Pt 0.5000 0.5000 0.5000


Ranking the structures above by energy, model b is first and the second is 1140 meV per atom behind.